# 1
VASP calculation (PBE) on Ac12Bi3O5 after structural relaxation.

Cell and atoms, written as extended XYZ:
```
80
Lattice="-6.3060 -7.6972 -11.3127 15.0022 -0.7073 -1.1931 -4.2801 -5.9858 13.1469" Properties=species:S:1:pos:R:3 pbc="T T T"
Bi 0.3613 -6.7863 -7.2886
Bi 5.1989 -8.0137 -9.1501
Bi 6.2118 -7.1580 3.0797
Bi -1.3063 -4.2574 1.9528
Bi -4.7125 -8.3199 -6.7611
Bi 5.9416 -4.8249 -1.7012
Bi -1.5255 -9.5653 2.3423
Bi 9.1286 -6.0703 7.4021
Bi 5.7223 -10.1328 -1.3117
Bi -1.7958 -7.2322 -2.4386
Bi -0.7828 -6.3765 9.7912
Bi 4.0548 -7.6039 7.9297
O 3.7675 -2.7238 1.4252
O 7.5011 -0.3536 -0.5965
O 0.0000 0.0000 0.0000
O 0.8508 -3.8115 -2.8972
O -5.2931 -6.8415 0.9171
O 4.3481 -4.2022 -6.2529
O 8.8584 -3.7373 2.6212
O -6.5994 -11.0988 2.8699
O 3.0418 -8.4596 -4.3001
O -3.6996 -7.4642 5.4688
O 8.1156 -6.9260 -4.8277
O 2.2080 -7.1951 0.3205
O -3.1530 -3.8486 -5.6564
O -2.1401 -2.9929 6.5735
O 1.3742 -5.9306 4.9412
O 11.0154 -3.2914 -2.2288
O 5.3610 -3.3465 5.9769
O -4.4423 -10.6529 -1.9801
O 3.5653 -10.5787 3.5383
O 0.6485 -11.6664 -0.7841
Ac -2.8087 -5.4943 -7.9050
Ac 3.9529 -5.1512 1.1337
Ac -1.6717 -9.7210 -7.7034
Ac -0.7112 -4.7018 -4.5643
Ac 3.7983 -9.1489 1.5601
Ac 1.9378 -9.1855 -9.4509
Ac 8.3210 -5.4241 0.9249
Ac 12.5751 -2.0605 -0.7921
Ac 8.1445 -9.4404 1.0866
Ac 3.6310 -6.9130 -6.1092
Ac 0.6346 -8.8713 -4.5180
Ac 8.3530 -6.9321 -10.1399
Ac 7.6008 -4.3705 4.6285
Ac 3.1534 -3.8306 -3.7394
Ac 11.2678 -3.6661 3.0695
Ac -3.5347 -6.8306 3.1059
Ac 1.4262 -1.9988 1.3616
Ac 6.8060 -4.8674 -5.0700
Ac 7.2560 -8.7011 -6.2843
Ac 5.0567 -1.7215 -0.4037
Ac 8.9684 -8.5215 4.9396
Ac 3.5841 -7.5072 -2.1068
Ac 4.3176 -10.5468 -4.4666
Ac -4.2919 -11.8525 2.5247
Ac 0.8319 -6.8830 2.7479
Ac 0.0985 -3.8434 5.1077
Ac 8.7079 -2.5377 -1.8836
Ac -2.8399 -5.6891 6.9254
Ac -4.5524 -5.8687 -4.2985
Ac -0.6407 -12.6687 1.0448
Ac -2.3900 -9.5228 5.7111
Ac 7.9507 -7.5596 -2.4648
Ac 2.9899 -12.3914 -0.7205
Ac -6.8518 -10.7241 -2.4284
Ac -3.1847 -10.0197 -3.9874
Ac -3.9370 -7.4580 10.7810
Ac 1.2627 -10.5596 4.3805
Ac -3.7284 -4.9498 -0.4455
Ac 0.7851 -7.4772 6.7503
Ac 3.7814 -5.5189 5.1591
Ac -8.1590 -12.3297 1.4331
Ac -3.9049 -8.9661 -0.2838
Ac 5.1272 -9.6884 5.2054
Ac 2.4782 -5.2047 10.0920
Ac 0.6177 -5.2413 -0.9190
Ac 6.0877 -4.6692 8.3445
Ac 0.4632 -9.2390 -0.4926
Ac 7.2247 -8.8959 8.5461
```

* calculated volume: 32.9 A^3/atom
* electronic total energy: -5.811 eV per atom
* DOS(E_F): 73.6 states/eV/cell

=====

# 2
VASP calculation (PBE) on CaNd2Zr2Rh5 after structural relaxation.

Cell and atoms, written as extended XYZ:
```
20
Lattice="-1.4076 0.3435 3.3778 -9.4141 -3.7766 -3.5390 3.1400 -10.0071 2.3263" Properties=species:S:1:pos:R:3 pbc="T T T"
Ca 0.0000 0.0000 0.0000
Ca -3.1371 -6.8919 -0.6064
Nd -5.8144 -4.3211 -1.9836
Nd -0.4597 -9.4626 0.7709
Nd -0.6458 -3.9039 0.1279
Nd -5.6283 -9.8799 -1.3406
Zr 0.7905 -6.7160 1.0125
Zr -7.0647 -7.0678 -2.2252
Zr -3.1267 -11.1214 -0.1719
Zr -3.1474 -2.6624 -1.0408
Rh -2.4776 -1.2352 1.0928
Rh -5.2041 -12.2050 1.0723
Rh 1.1989 -7.9769 3.3106
Rh -6.0023 -6.8918 0.1993
Rh -8.8807 -5.4633 -1.1455
Rh -1.6795 -6.5484 1.9658
Rh -3.7656 -9.0447 1.3503
Rh -3.9161 -4.3955 0.8147
Rh -5.4109 -1.7165 -0.0806
Rh 0.8662 -4.8318 2.8521
```

* formation enthalpy at 0 K: -4.68 eV/f.u.
* calculated volume: 21.2 A^3/atom
* DOS(E_F): 12.8 states/eV/cell

=====

# 3
VASP calculation (PBE) on LiZn5Ag after structural relaxation.

Cell and atoms, written as extended XYZ:
```
14
Lattice="2.9007 0.0000 0.0000 0.0000 7.1353 -1.0889 0.0000 -1.2281 10.7359" Properties=species:S:1:pos:R:3 pbc="T T T"
Li 2.1755 0.8231 1.4385
Li 0.7252 5.0841 8.2086
Zn 0.7252 6.7466 2.2905
Zn 2.1755 0.2902 9.5762
Zn 2.1755 0.7717 5.2594
Zn 0.7252 2.9441 0.4987
Zn 0.7252 1.5066 7.4393
Zn 2.1755 4.4006 2.2078
Zn 2.1755 2.9631 9.1483
Zn 0.7252 5.1355 4.3876
Zn 0.7252 5.6170 0.0708
Zn 2.1755 -0.8394 7.3565
Ag 0.7252 2.3949 3.4863
Ag 2.1755 3.5123 6.1607
```

* formation enthalpy at 0 K: -0.37 eV/f.u.
* calculated volume: 15.6 A^3/atom
* DOS(E_F): 3.3 states/eV/cell